The following is a DFT calculation (PBE) of a relaxed structure of ThBeCu2.

## Properties
DOS(E_F)   3.3 states/eV/cell
Formation energy from the elements   -0.109 eV/atom
Space group   No. 166
Calculated density   8.96 g/cm3

Geometry as POSCAR:
```
ThBeCu2
1.0
-0.4738 -3.8952 -0.8296
1.9911 -2.7592 2.1232
-3.2059 -2.4452 3.6169
Th Be Cu
1 1 2
Direct
0.0000 0.0000 0.0000
0.5000 0.5000 0.5000
0.2014 0.2014 0.3959
0.7986 0.7986 0.6041
```